UZnCd2O6 after structural relaxation, computed with PBE-GGA.

Cell: 4.5433 5.6427 5.6427 Å, 90.00 90.00 90.00°
With the nearest neighbours (Å) after each atom.
Element x y z (fractional)
U  0.6569  0.5000  0.5000  5 O 2.01-2.22
Zn  0.5874  0.0000  0.0000  5 O 1.94-2.06
Cd  0.0260  0.5000  0.0000  4 O 2.47
Cd  0.0260  0.0000  0.5000  4 O 2.47
O  0.7051  0.2492  0.2492  1 U 2.01, 1 Zn 2.06
O  0.7051  0.2492  0.7508  1 U 2.01, 1 Zn 2.06
O  0.1689  0.5000  0.5000  2 U 2.22-2.33
O  0.1613  0.0000  0.0000  1 Zn 1.94
O  0.7051  0.7508  0.7508  1 U 2.01, 1 Zn 2.06
O  0.7051  0.7508  0.2492  1 U 2.01, 1 Zn 2.06

Calculated values
Formation energy without anion corrections ... -1.63 eV/atom
Fermi-level density of states ... 2.19 states/eV per cell
E_tot ... -6.05 eV/atom
Volume ... 144.7 Å³ per cell

UZn2CdO6 after structural relaxation, computed with PBE-GGA.

Cell: 6.1516 7.4985 7.4985 Å, 78.94 71.18 71.18°
With the nearest neighbours (Å) after each atom.
Element x y z (fractional)
U  0.2500  0.2654  0.7346  6 O 2.02-2.20
U  0.7500  0.7346  0.2654  6 O 2.02-2.20
Zn  0.3454  0.7711  0.6392  4 O 1.93-2.04
Zn  0.1546  0.3608  0.2289  4 O 1.93-2.04
Zn  0.6546  0.2289  0.3608  4 O 1.93-2.04
Zn  0.8454  0.6392  0.7711  4 O 1.93-2.04
Cd  0.2500  0.9049  0.0951  6 O 2.28-2.47
Cd  0.7500  0.0951  0.9049  6 O 2.28-2.47
O  0.1903  0.9828  0.7918  1 Zn 1.94
O  0.3097  0.2082  0.0172  1 Zn 1.94
O  0.8097  0.0172  0.2082  1 Zn 1.94
O  0.6903  0.7918  0.9828  1 Zn 1.94
O  0.3897  0.8288  0.3546  1 U 2.02, 1 Zn 2.04
O  0.1103  0.6454  0.1712  1 U 2.02, 1 Zn 2.04
O  0.6103  0.1712  0.6454  1 U 2.02, 1 Zn 2.04
O  0.8897  0.3546  0.8288  1 U 2.02, 1 Zn 2.04
O  0.2086  0.5600  0.7163  2 Zn 1.93-2.04, 1 U 2.12
O  0.2914  0.2837  0.4400  2 Zn 1.93-2.04, 1 U 2.12
O  0.7914  0.4400  0.2837  2 Zn 1.93-2.04, 1 U 2.12
O  0.7086  0.7163  0.5600  2 Zn 1.93-2.04, 1 U 2.12

Calculated values
Formation energy without anion corrections ... -1.96 eV/atom
Fermi-level density of states ... 0.00 states/eV per cell
E_tot ... -6.41 eV/atom
Volume ... 308.4 Å³ per cell

ZrUCdO6 after structural relaxation, computed with PBE-GGA.

Cell: 5.5273 5.5273 9.4951 Å, 90.00 90.00 120.00°
With the nearest neighbours (Å) after each atom.
Element x y z (fractional)
Zr  0.0000  0.0000  0.0000  6 O 2.14
Zr  0.0000  0.0000  0.5000  6 O 2.14
U  0.6667  0.3333  0.2500  6 O 2.10
U  0.3333  0.6667  0.7500  6 O 2.10
Cd  0.3333  0.6667  0.2500  6 O 2.34
Cd  0.6667  0.3333  0.7500  6 O 2.34
O  0.6964  0.6621  0.1259  1 U 2.10, 1 Zr 2.14, 1 Cd 2.34
O  0.9656  0.3036  0.1259  1 U 2.10, 1 Zr 2.14, 1 Cd 2.34
O  0.3036  0.9656  0.6259  1 U 2.10, 1 Zr 2.14, 1 Cd 2.34
O  0.0344  0.6964  0.8741  1 U 2.10, 1 Zr 2.14, 1 Cd 2.34
O  0.3379  0.3036  0.3741  1 U 2.10, 1 Zr 2.14, 1 Cd 2.34
O  0.9656  0.6621  0.3741  1 U 2.10, 1 Zr 2.14, 1 Cd 2.34
O  0.6621  0.9656  0.8741  1 U 2.10, 1 Zr 2.14, 1 Cd 2.34
O  0.6964  0.0344  0.3741  1 U 2.10, 1 Zr 2.14, 1 Cd 2.34
O  0.0344  0.3379  0.6259  1 U 2.10, 1 Zr 2.14, 1 Cd 2.34
O  0.3379  0.0344  0.1259  1 U 2.10, 1 Zr 2.14, 1 Cd 2.34
O  0.6621  0.6964  0.6259  1 U 2.10, 1 Zr 2.14, 1 Cd 2.34
O  0.3036  0.3379  0.8741  1 U 2.10, 1 Zr 2.14, 1 Cd 2.34

Calculated values
Formation energy without anion corrections ... -2.65 eV/atom
Fermi-level density of states ... 0.00 states/eV per cell
E_tot ... -8.26 eV/atom
Volume ... 251.2 Å³ per cell